1.
# MgMn2Ru (PBE, relaxed)
data_MgMn2Ru
_chemical_formula_sum 'Mg1 Mn2 Ru1'
_cell_length_a 2.897
_cell_length_b 2.897
_cell_length_c 6.963
_cell_angle_alpha 90.00
_cell_angle_beta 90.00
_cell_angle_gamma 90.00
_symmetry_space_group_name_H-M 'P 1'
_symmetry_Int_Tables_number 1
loop_
_symmetry_equiv_pos_as_xyz
'x,y,z'
loop_
_atom_site_label
_atom_site_fract_x
_atom_site_fract_y
_atom_site_fract_z
Mg1 0.000 0.000 0.000
Mn1 0.000 0.000 0.525
Mn2 0.500 0.500 0.297
Ru1 0.500 0.500 0.726
# Total DFT energy (no corrections) (eV per atom): -7.17
# DOS at the Fermi energy (states/eV/cell): 3.0
# Total moment (μB/cell): 5.2
# Formation energy from the elements (kJ/mol of formula units): 52

=====

2.
# Mg2MnRu (PBE, relaxed)
data_Mg2MnRu
_chemical_formula_sum 'Mg2 Mn1 Ru1'
_cell_length_a 2.881
_cell_length_b 3.992
_cell_length_c 5.678
_cell_angle_alpha 90.00
_cell_angle_beta 90.00
_cell_angle_gamma 90.00
_symmetry_space_group_name_H-M 'P 1'
_symmetry_Int_Tables_number 1
loop_
_symmetry_equiv_pos_as_xyz
'x,y,z'
loop_
_atom_site_label
_atom_site_fract_x
_atom_site_fract_y
_atom_site_fract_z
Mg1 0.000 0.000 0.240
Mg2 0.000 0.000 0.760
Mn1 0.500 0.500 0.500
Ru1 0.500 0.500 0.000
# Total DFT energy (no corrections) (eV per atom): -5.22
# DOS at the Fermi energy (states/eV/cell): 3.3
# Total moment (μB/cell): 4.5
# Formation energy from the elements (kJ/mol of formula units): 72

=====

Copy entry 1 word for word.
# MgMn2Ru (PBE, relaxed)
data_MgMn2Ru
_chemical_formula_sum 'Mg1 Mn2 Ru1'
_cell_length_a 2.897
_cell_length_b 2.897
_cell_length_c 6.963
_cell_angle_alpha 90.00
_cell_angle_beta 90.00
_cell_angle_gamma 90.00
_symmetry_space_group_name_H-M 'P 1'
_symmetry_Int_Tables_number 1
loop_
_symmetry_equiv_pos_as_xyz
'x,y,z'
loop_
_atom_site_label
_atom_site_fract_x
_atom_site_fract_y
_atom_site_fract_z
Mg1 0.000 0.000 0.000
Mn1 0.000 0.000 0.525
Mn2 0.500 0.500 0.297
Ru1 0.500 0.500 0.726
# Total DFT energy (no corrections) (eV per atom): -7.17
# DOS at the Fermi energy (states/eV/cell): 3.0
# Total moment (μB/cell): 5.2
# Formation energy from the elements (kJ/mol of formula units): 52

=====

Look up the total DFT energy (no corrections) of the second one.
-5.22 eV per atom